1.
Ce4Ho3TmS8: optimized geometry, PBE.

a = 7.850 Å, b = 7.948 Å, c = 7.849 Å
α = 119.59°, β = 120.00°, γ = 90.00°
Fractional coordinates of all 16 atoms:
S (0.244, 0.735, 0.991)
Ce (0.500, 0.000, 0.500)
S (0.747, 0.735, 0.991)
S (0.255, 0.264, 0.509)
S (0.253, 0.265, 0.009)
S (0.244, 0.735, 0.488)
Ce (0.500, 0.000, 0.000)
S (0.756, 0.265, 0.009)
Ho (0.000, 0.500, 0.500)
Ho (0.500, 0.500, 0.000)
Ce (0.000, 0.000, 0.000)
Ce (0.000, 0.000, 0.500)
Ho (0.500, 0.500, 0.500)
Tm (0.000, 0.500, 0.000)
S (0.745, 0.736, 0.491)
S (0.756, 0.265, 0.512)

Values from the calculation:
E = -107.2 eV for the cell shown
M_tot = 2.7 μB/cell
E_form (uncorrected) = -2.02 eV per atom

2.
ThCuBr6: optimized geometry, PBE.

a = 7.292 Å, b = 7.573 Å, c = 7.317 Å
α = 64.27°, β = 63.12°, γ = 52.37°
Fractional coordinates of all 8 atoms:
Br (0.111, 0.442, 0.724)
Br (0.621, 0.216, 0.246)
Br (0.764, 0.084, 0.786)
Br (0.379, 0.784, 0.754)
Cu (0.000, 0.000, 0.000)
Th (0.500, 0.500, 0.500)
Br (0.889, 0.558, 0.276)
Br (0.236, 0.916, 0.214)

Values from the calculation:
E = -30.2 eV for the cell shown
M_tot = 1.1 μB/cell
E_form (uncorrected) = -1.09 eV per atom

3.
BaLi2Ru: optimized geometry, PBE.

a = 4.927 Å, b = 4.927 Å, c = 4.927 Å
α = 120.14°, β = 120.14°, γ = 89.76°
Fractional coordinates of all 4 atoms:
Ba (0.750, 0.250, 0.500)
Ru (0.500, 0.500, 0.000)
Li (0.250, 0.750, 0.500)
Li (0.000, 0.000, 0.000)

Values from the calculation:
E = -13.1 eV for the cell shown
M_tot = 0.0 μB/cell
DFT formation energy = 487 meV/atom

4.
FeNiRu: optimized geometry, PBE.

a = 2.615 Å, b = 2.615 Å, c = 6.253 Å
α = 90.00°, β = 90.00°, γ = 120.00°
Fractional coordinates of all 3 atoms:
Ru (0.333, 0.667, 0.670)
Ni (0.667, 0.333, 0.325)
Fe (0.000, 0.000, 0.005)

Values from the calculation:
E = -23.1 eV for the cell shown
M_tot = 2.5 μB/cell
DFT formation energy = 135 meV/atom